# 1
Computed, not measured: a geometry-optimized MgFe2IrPd structure at the GGA-PBE level of DFT.

```
MgFe2IrPd
1.0
4.458 0.000 0.000
0.000 4.458 0.000
0.000 0.000 4.902
Mg Fe Ir Pd
1 2 1 1
Direct
0.000 0.000 0.000
0.000 0.500 0.500
0.500 0.000 0.500
0.500 0.500 0.000
0.500 0.500 0.500
```

Summary:
* E_form: 1.65 eV/atom
* spin magnetization: 0.230 μB/f.u.
* electronic total energy: -4.8654 eV per atom

# 2
Computed, not measured: a geometry-optimized MgFe2IrPt structure at the GGA-PBE level of DFT.

```
MgFe2IrPt
1.0
4.603 0.000 0.000
0.000 4.603 0.000
0.000 0.000 4.986
Mg Fe Ir Pt
1 2 1 1
Direct
0.000 0.000 0.000
0.000 0.500 0.500
0.500 0.000 0.500
0.500 0.500 0.500
0.500 0.500 0.000
```

Summary:
* E_form: 0.89 eV/atom
* spin magnetization: 7.003 μB/f.u.
* electronic total energy: -5.7928 eV per atom

# 3
Computed, not measured: a geometry-optimized MgFeIrPt structure at the GGA-PBE level of DFT.

```
MgFeIrPt
1.0
0.000 3.082 3.082
3.082 0.000 3.082
3.082 3.082 0.000
Mg Fe Ir Pt
1 1 1 1
Direct
0.000 0.000 0.000
0.500 0.500 0.500
0.750 0.750 0.750
0.250 0.250 0.250
```

Summary:
* E_form: -0.30 eV/atom
* spin magnetization: 4.281 μB/f.u.
* electronic total energy: -6.5438 eV per atom

# 4
Computed, not measured: a geometry-optimized PuMgFeIr structure at the GGA-PBE level of DFT.

```
PuMgFeIr
1.0
0.000 3.260 3.260
3.260 0.000 3.260
3.260 3.260 0.000
Pu Mg Fe Ir
1 1 1 1
Direct
0.000 0.000 0.000
0.500 0.500 0.500
0.250 0.250 0.250
0.750 0.750 0.750
```

Summary:
* E_form: -0.21 eV/atom
* spin magnetization: 2.814 μB/f.u.
* electronic total energy: -8.5188 eV per atom

# 5
Computed, not measured: a geometry-optimized RbMg2FeIr structure at the GGA-PBE level of DFT.

```
RbMg2FeIr
1.0
5.448 0.000 0.000
0.000 5.448 0.000
0.000 0.000 4.849
Rb Mg Fe Ir
1 2 1 1
Direct
0.000 0.000 0.000
0.000 0.500 0.000
0.500 0.000 0.000
0.500 0.500 0.500
0.000 0.000 0.500
```

Summary:
* E_form: 2.26 eV/atom
* spin magnetization: 3.281 μB/f.u.
* electronic total energy: -2.0368 eV per atom

# 6
Computed, not measured: a geometry-optimized MgFeIrRh structure at the GGA-PBE level of DFT.

```
MgFeIrRh
1.0
0.000 3.053 3.053
3.053 0.000 3.053
3.053 3.053 0.000
Mg Fe Ir Rh
1 1 1 1
Direct
0.000 0.000 0.000
0.500 0.500 0.500
0.750 0.750 0.750
0.250 0.250 0.250
```

Summary:
* E_form: -0.23 eV/atom
* spin magnetization: 4.136 μB/f.u.
* electronic total energy: -6.8017 eV per atom

# 7
Computed, not measured: a geometry-optimized MgFeIrRu structure at the GGA-PBE level of DFT.

```
MgFeIrRu
1.0
0.000 3.070 3.070
3.070 0.000 3.070
3.070 3.070 0.000
Mg Fe Ir Ru
1 1 1 1
Direct
0.000 0.000 0.000
0.250 0.250 0.250
0.750 0.750 0.750
0.500 0.500 0.500
```

Summary:
* E_form: 0.15 eV/atom
* spin magnetization: 3.813 μB/f.u.
* electronic total energy: -6.8972 eV per atom

# 8
Computed, not measured: a geometry-optimized MgFeIrSe2 structure at the GGA-PBE level of DFT.

```
MgFeIrSe2
1.0
4.824 0.000 0.000
0.000 4.824 0.000
0.000 0.000 4.746
Mg Fe Ir Se
1 1 1 2
Direct
0.000 0.000 0.000
0.500 0.500 0.500
0.000 0.000 0.500
0.000 0.500 0.000
0.500 0.000 0.000
```

Summary:
* ΔE_f (raw): 1.1627 eV per atom
* spin magnetization: 4.211 μB/f.u.
* electronic total energy: -4.0147 eV per atom